Entry from Alexandria via LeMat-Bulk: a relaxed Ac4Tl3Zn2 crystal (PBE-GGA).

```
data_Ac4Tl3Zn2
_chemical_formula_sum 'Ac4 Tl3 Zn2'
_cell_length_a 8.9279
_cell_length_b 8.9279
_cell_length_c 7.8411
_cell_angle_alpha 106.33
_cell_angle_beta 106.33
_cell_angle_gamma 29.53
_symmetry_space_group_name_H-M 'P 1'
_symmetry_Int_Tables_number 1
loop_
_symmetry_equiv_pos_as_xyz
'x,y,z'
loop_
_atom_site_label
_atom_site_fract_x
_atom_site_fract_y
_atom_site_fract_z
Ac1 0.0640 0.0640 0.3458
Ac2 0.2690 0.2690 0.7895
Ac3 0.7310 0.7310 0.2105
Ac4 0.9360 0.9360 0.6542
Tl1 0.3906 0.3906 0.2904
Tl2 0.5000 0.5000 0.0000
Tl3 0.6094 0.6094 0.7096
Zn1 0.1152 0.1152 0.9681
Zn2 0.8848 0.8848 0.0319
```

Summary:
Mass density (Mg/m³): 9.31
Energy of formation (eV per atom): -0.249
Space-group type: C2/m (12)
Volume (Å³/cell): 294.8